P | Below is a relaxed structure of Tc3Os, with properties calculated at the PBEsol level.

Computed properties:
Calculated volume, Å³/cell: 56
Total moment, μB/f.u.: 0.00

Cell: 2.724 4.335 4.717 Å, 90.00 90.00 90.00°
Sites, in units of the cell vectors:
Tc  0.000  0.000  0.000
Tc  0.000  0.500  0.333
Tc  0.500  0.500  0.834
Os  0.500  0.000  0.499

---

Q | Below is a relaxed structure of Tc3Os, with properties calculated at the PBEsol level.

Computed properties:
Calculated volume, Å³/cell: 223
Total moment, μB/f.u.: 0.00

Cell: 4.713 8.684 5.456 Å, 90.00 90.00 90.00°
Sites, in units of the cell vectors:
Tc  0.085  0.250  0.125
Tc  0.247  0.502  0.376
Tc  0.247  0.998  0.376
Tc  0.253  0.002  0.876
Tc  0.253  0.498  0.876
Tc  0.415  0.750  0.625
Tc  0.585  0.250  0.375
Tc  0.747  0.502  0.124
Tc  0.747  0.998  0.124
Tc  0.753  0.002  0.624
Tc  0.753  0.498  0.624
Tc  0.915  0.750  0.875
Os  0.086  0.250  0.624
Os  0.414  0.750  0.124
Os  0.586  0.250  0.876
Os  0.914  0.750  0.376

---

How do the structures above rank in stability at the extremes? P comes first and Q comes last.